No. 1
This record from Alexandria via LeMat-Bulk describes crystalline K2YTmS4 at its relaxed geometry. The functional is PBE-GGA.

Cell: 6.9772 4.0278 7.7203 Å, 90.00 107.52 90.00°
With the nearest neighbours (Å) after each atom.
Element x y z (fractional)
K 0.0000 0.0000 0.0000  6 S 3.22
K 0.5000 0.5000 0.0000  6 S 3.19
Y 0.0000 0.5000 0.5000  6 S 2.77
Tm 0.5000 0.0000 0.5000  6 S 2.74
S 0.2370 0.0000 0.7014  1 Tm 2.74, 2 Y 2.77
S 0.2700 0.5000 0.3001  2 Tm 2.74, 1 Y 2.77
S 0.7300 0.5000 0.6999  2 Tm 2.74, 1 Y 2.77
S 0.7630 0.0000 0.2986  1 Tm 2.74, 2 Y 2.77

Calculated values
As for the volume: 206.90 Å³/f.u. The formation energy (no corrections) is -1.890 eV/atom. Its calculated total energy is -5.60 eV/atom.

***

No. 2
This record from Alexandria via LeMat-Bulk describes crystalline GaNi at its relaxed geometry. The functional is PBE-GGA.

Cell: 8.6828 7.0632 5.4420 Å, 86.93 54.32 38.75°
With the nearest neighbours (Å) after each atom.
Element x y z (fractional)
Ga 0.0119 0.7381 0.0119  6 Ni 2.46-2.48
Ga 0.2619 0.9881 0.2619  6 Ni 2.46-2.48
Ga 0.7381 0.0119 0.7381  6 Ni 2.46-2.48
Ga 0.9881 0.2619 0.9881  6 Ni 2.46-2.48
Ni 0.2719 0.2719 0.4781  6 Ga 2.46-2.48
Ni 0.4781 0.4781 0.2719  6 Ga 2.46-2.48
Ni 0.5219 0.5219 0.7281  6 Ga 2.46-2.48
Ni 0.7281 0.7281 0.5219  6 Ga 2.46-2.48

Calculated values
The calculation puts the formation energy at -0.2647 eV/atom. As for the volume: 26.04 Å³/f.u. Its calculated total energy is -4.67 eV/atom.

***

No. 3
This record from Alexandria via LeMat-Bulk describes crystalline TbHoEr2 at its relaxed geometry. The functional is PBE-GGA.

Cell: 11.6322 11.6322 11.6322 Å, 17.39 17.39 17.39°
With the nearest neighbours (Å) after each atom.
Element x y z (fractional)
Tb 0.0000 0.0000 0.0000  6 Tb 3.52, 6 Er 3.52
Ho 0.5000 0.5000 0.5000  6 Er 3.50, 6 Ho 3.52
Er 0.2497 0.2497 0.2497  3 Ho 3.50, 6 Er 3.52, 3 Tb 3.52
Er 0.7503 0.7503 0.7503  3 Ho 3.50, 6 Er 3.52, 3 Tb 3.52

Calculated values
The calculation puts the formation energy at 0.0211 eV/atom. As for the volume: 122.71 Å³/f.u. The polymorph energy (0 for the lowest one) is 17 meV per atom. Its calculated total energy is -4.56 eV/atom.